SnPHO5, relaxed, DFT GGA-PBE; V = 247.7 Å³ per cell; total moment = 0.000 μB per cell; total DFT energy (no corrections) = -5.768 eV/atom; energy relative to the lowest polymorph listed for this composition = 726 meV per atom
1.0
5.589 0.000 0.000
-0.375 6.509 0.000
-2.165 -1.793 6.809
Sn P H O
2 2 2 10
direct
0.000 0.000 0.000
0.500 0.500 0.500
0.094 0.467 0.886
0.906 0.533 0.114
0.466 0.696 0.997
0.534 0.304 0.003
0.099 0.574 0.315
0.255 0.289 0.927
0.272 0.685 0.928
0.363 0.131 0.300
0.371 0.077 0.471
0.629 0.923 0.529
0.637 0.869 0.700
0.728 0.315 0.072
0.745 0.711 0.073
0.901 0.426 0.685